The following is a DFT calculation (PBE) of crystalline TbNdEr5 at its relaxed geometry.

Lattice parameters (Å, degrees): 6.714 6.714 12.067 106.75 106.75 60.58
Element x y z (fractional)
Tb  0.000  0.500  0.000
Tb  0.500  0.000  0.500
Nd  0.026  0.974  0.750
Nd  0.974  0.026  0.250
Er  0.141  0.418  0.750
Er  0.196  0.646  0.501
Er  0.354  0.804  0.999
Er  0.410  0.590  0.250
Er  0.418  0.141  0.250
Er  0.582  0.859  0.750
Er  0.590  0.410  0.750
Er  0.646  0.196  0.001
Er  0.804  0.354  0.499
Er  0.859  0.582  0.250

E above lowest polymorph ... 0.000 eV per atom
Size of the total moment ... 0.00 Bohr magnetons per cell
Crystal system ... monoclinic
Calculated total energy ... -61.64 eV/cell
DFT formation energy ... 1.392 eV per formula unit